Record 1
Computed, not measured: LaIrCl2 at its PBEsol-relaxed geometry at the SCAN level of DFT.

Summary:
Total magnetic moment (μB per cell): 0.000
V (Å³/atom): 21.38
ΔE to the lowest computed polymorph (eV per formula unit): 0.00
Formation energy from raw total energies (eV per formula unit): -3.526

Cell lengths 6.0347, 6.3393, 8.9419 Å; angles 90.00, 90.00, 90.00 degrees
Last column: nearest neighbours and their distance in Å.
Space group Fmmm (No. 69)
Inequivalent atoms, fractional coordinates:
La 0.0000 0.0000 0.0000  4 Cl 2.74, 2 Ir 3.02
Ir 0.0000 0.0000 0.5000  4 Cl 2.74, 2 La 3.02
Cl 0.0000 0.2500 0.2500  2 Ir 2.74, 2 La 2.74, 2 Cl 3.02


Record 2
Computed, not measured: LiLaNi at its PBEsol-relaxed geometry at the SCAN level of DFT.

Summary:
Total magnetic moment (μB per cell): 0.000
V (Å³/atom): 22.56
Formation energy from the elements (meV per atom): 30

Cell lengths 6.4694, 6.4694, 6.4694 Å; angles 90.00, 90.00, 90.00 degrees
Last column: nearest neighbours and their distance in Å.
Space group F-43m (No. 216)
Inequivalent atoms, fractional coordinates:
Li 0.0000 0.0000 0.0000  4 Ni 2.80
La 0.0000 0.0000 0.5000  4 Ni 2.80
Ni 0.2500 0.2500 0.7500  4 La 2.80, 4 Li 2.80


Record 3
Computed, not measured: BeSnTe2 at its PBEsol-relaxed geometry at the SCAN level of DFT.

Summary:
Total magnetic moment (μB per cell): 0.000
V (Å³/atom): 23.62
ΔE to the lowest computed polymorph (eV per formula unit): 2.54
Formation energy from raw total energies (eV per formula unit): 2.147

Cell lengths 7.2296, 7.2296, 7.2296 Å; angles 90.00, 90.00, 90.00 degrees
Last column: nearest neighbours and their distance in Å.
Space group Fm-3m (No. 225)
Inequivalent atoms, fractional coordinates:
Be 0.0000 0.0000 0.0000  8 Te 3.13
Sn 0.0000 0.0000 0.5000  8 Te 3.13
Te 0.2500 0.2500 0.2500  4 Sn 3.13, 4 Be 3.13


Record 4
Computed, not measured: Sr2MgCu at its PBEsol-relaxed geometry at the SCAN level of DFT.

Summary:
Total magnetic moment (μB per cell): 0.081
V (Å³/atom): 31.98
Formation energy from the elements (meV per atom): 4

Cell lengths 4.5038, 4.7075, 12.0679 Å; angles 90.00, 90.00, 90.00 degrees
Last column: nearest neighbours and their distance in Å.
Space group Amm2 (No. 38)
Inequivalent atoms, fractional coordinates:
Sr 0.0000 0.0000 0.0000  4 Mg 3.44, 3 Cu 3.45-3.51
Sr 0.5000 0.0000 0.2901  3 Mg 3.36-3.63, 4 Cu 3.40
Mg 0.5000 0.0000 0.5910  2 Cu 2.67
Cu 0.0000 0.0000 0.7091  2 Mg 2.67


Record 5
Computed, not measured: K2RbTmV2O8 at its PBEsol-relaxed geometry at the SCAN level of DFT.

Summary:
Total magnetic moment (μB per cell): 0.000
V (Å³/atom): 16.20
Formation energy from raw total energies (eV per formula unit): -39.870

Cell lengths 5.8779, 5.8779, 7.5793 Å; angles 90.00, 90.00, 120.00 degrees
Last column: nearest neighbours and their distance in Å.
Space group P-3m1 (No. 164)
Inequivalent atoms, fractional coordinates:
K 0.3333 0.6667 0.1894  1 O 2.58
Rb 0.0000 0.0000 0.5000  12 O 3.05-3.40
Tm 0.0000 0.0000 0.0000  6 O 2.20
V 0.3333 0.6667 0.7478  4 O 1.66-1.74
O 0.1736 0.3472 0.8281  1 V 1.74
O 0.3333 0.6667 0.5294  1 V 1.66


Record 6
Computed, not measured: CdIn at its PBEsol-relaxed geometry at the SCAN level of DFT.

Summary:
Total magnetic moment (μB per cell): 0.000
V (Å³/atom): 25.73
Formation energy from the elements (meV per atom): 147

Cell lengths 5.9041, 5.9041, 5.9041 Å; angles 90.00, 90.00, 90.00 degrees
Last column: nearest neighbours and their distance in Å.
Space group Fm-3m (No. 225)
Inequivalent atoms, fractional coordinates:
Cd 0.0000 0.0000 0.0000  6 In 2.95
In 0.0000 0.0000 0.5000  6 Cd 2.95


Record 7
Computed, not measured: Li2H2Pd at its PBEsol-relaxed geometry at the SCAN level of DFT.

Summary:
Total magnetic moment (μB per cell): 0.000
Uncorrected energy (eV/atom): -9.38
V (Å³/atom): 9.54

Cell lengths 3.0511, 3.0511, 10.2430 Å; angles 90.00, 90.00, 90.00 degrees
Last column: nearest neighbours and their distance in Å.
Space group I4/mmm (No. 139)
Inequivalent atoms, fractional coordinates:
Li 0.0000 0.0000 0.1463  5 H 1.95-2.16
H 0.0000 0.0000 0.3370  1 Pd 1.67
Pd 0.0000 0.0000 0.5000  2 H 1.67


Record 8
Computed, not measured: Li2FeHg at its PBEsol-relaxed geometry at the SCAN level of DFT.

Summary:
Total magnetic moment (μB per cell): 5.754
V (Å³/atom): 15.09
Formation energy from the elements (meV per atom): 75

Cell lengths 5.3839, 8.1590, 2.7478 Å; angles 90.00, 90.00, 90.00 degrees
Last column: nearest neighbours and their distance in Å.
Space group Cmmm (No. 65)
Inequivalent atoms, fractional coordinates:
Li 0.2500 0.2500 0.0000  4 Li 2.69-2.75, 4 Hg 2.80, 4 Fe 2.80
Fe 0.0000 0.0000 0.5000  2 Hg 2.69, 2 Fe 2.75, 8 Li 2.80
Hg 0.0000 0.5000 0.5000  2 Fe 2.69, 2 Hg 2.75, 8 Li 2.80


Record 9
Computed, not measured: TlBAsS2 at its PBEsol-relaxed geometry at the SCAN level of DFT.

Summary:
Total magnetic moment (μB per cell): 0.000
V (Å³/atom): 22.43
Formation energy from raw total energies (eV per formula unit): 7.526

Cell lengths 5.1840, 5.1840, 4.1735 Å; angles 90.00, 90.00, 90.00 degrees
Last column: nearest neighbours and their distance in Å.
Space group P4/mmm (No. 123)
Inequivalent atoms, fractional coordinates:
Tl 0.0000 0.0000 0.0000  2 B 2.09
B 0.0000 0.0000 0.5000  2 Tl 2.09
As 0.5000 0.5000 0.5000  8 S 3.33, 4 B 3.67
S 0.0000 0.5000 0.0000  2 Tl 2.59


Record 10
Computed, not measured: LiPrO2 at its PBEsol-relaxed geometry at the SCAN level of DFT.

Summary:
Total magnetic moment (μB per cell): 0.000
V (Å³/atom): 12.38
Formation energy from raw total energies (eV per formula unit): -12.136

Cell lengths 5.7775, 6.1037, 5.7600 Å; angles 90.00, 102.73, 90.00 degrees
Last column: nearest neighbours and their distance in Å.
Space group P2_1/c (No. 14)
Inequivalent atoms, fractional coordinates:
Li 0.1613 0.1400 0.1785  3 O 1.90-2.10
Pr 0.2993 0.5695 0.1969  7 O 2.39-2.52
O 0.0717 0.6315 0.7936  2 Li 1.90-1.97
O 0.4107 0.2389 0.9831  2 Li 2.10-2.14


Record 11
Computed, not measured: InGeSN2 at its PBEsol-relaxed geometry at the SCAN level of DFT.

Summary:
Total magnetic moment (μB per cell): 0.000
V (Å³/atom): 14.56
Formation energy from raw total energies (eV per formula unit): 4.216

Cell lengths 3.7238, 3.7238, 5.2517 Å; angles 90.00, 90.00, 90.00 degrees
Last column: nearest neighbours and their distance in Å.
Space group P4/mmm (No. 123)
Inequivalent atoms, fractional coordinates:
In 0.0000 0.0000 0.0000  4 S 2.63
Ge 0.5000 0.5000 0.5000  4 N 1.86
S 0.5000 0.5000 0.0000  2 Ge 2.63, 4 In 2.63
N 0.0000 0.5000 0.5000  2 Ge 1.86


Record 12
Computed, not measured: CoPH2F at its PBEsol-relaxed geometry at the SCAN level of DFT.

Summary:
Total magnetic moment (μB per cell): 1.562
Uncorrected energy (eV/atom): -7.93
V (Å³/atom): 9.32

Cell lengths 3.2011, 3.2011, 4.5460 Å; angles 90.00, 90.00, 90.00 degrees
Last column: nearest neighbours and their distance in Å.
Space group P4/mmm (No. 123)
Inequivalent atoms, fractional coordinates:
Co 0.0000 0.0000 0.0000  4 F 2.26, 2 P 2.27
P 0.0000 0.0000 0.5000  4 H 1.60
H 0.0000 0.5000 0.5000  2 P 1.60
F 0.5000 0.5000 0.0000  4 Co 2.26


Record 13
Computed, not measured: ZnFe2Si at its PBEsol-relaxed geometry at the SCAN level of DFT.

Summary:
Total magnetic moment (μB per cell): 8.979
V (Å³/atom): 11.50
Formation energy from raw total energies (eV per formula unit): -0.405

Cell lengths 3.5133, 3.5133, 7.4545 Å; angles 90.00, 90.00, 90.00 degrees
Last column: nearest neighbours and their distance in Å.
Space group I-4m2 (No. 119)
Inequivalent atoms, fractional coordinates:
Zn 0.0000 0.0000 0.0000  8 Fe 2.48-2.56, 4 Si 2.56
Fe 0.0000 0.0000 0.5000  4 Zn 2.48, 4 Fe 2.56, 4 Si 2.56
Fe 0.0000 0.5000 0.2500  4 Si 2.48, 4 Fe 2.56, 4 Zn 2.56
Si 0.0000 0.5000 0.7500  8 Fe 2.48-2.56, 4 Zn 2.56


Record 14
Computed, not measured: Cu3Ni at its PBEsol-relaxed geometry at the SCAN level of DFT.

Summary:
Total magnetic moment (μB per cell): 0.000
V (Å³/atom): 10.99
Formation energy from the elements (meV per atom): 48

Cell lengths 4.0962, 4.9900, 4.3027 Å; angles 90.00, 90.00, 90.00 degrees
Last column: nearest neighbours and their distance in Å.
Space group Pmmn (No. 59, origin choice 2)
Inequivalent atoms, fractional coordinates:
Cu 0.2500 0.0006 0.1681  8 Cu 2.48-2.51, 4 Ni 2.49-2.50
Cu 0.2500 0.2500 0.6658  8 Cu 2.48-2.50, 4 Ni 2.50
Ni 0.2500 0.7500 0.6677  12 Cu 2.49-2.50


Record 15
Computed, not measured: TeAs2BrN at its PBEsol-relaxed geometry at the SCAN level of DFT.

Summary:
Total magnetic moment (μB per cell): 0.000
V (Å³/atom): 18.35
Formation energy from raw total energies (eV per formula unit): 4.802

Cell lengths 4.5955, 4.5955, 4.3440 Å; angles 90.00, 90.00, 90.00 degrees
Last column: nearest neighbours and their distance in Å.
Space group P4/mmm (No. 123)
Inequivalent atoms, fractional coordinates:
Te 0.0000 0.0000 0.0000  8 As 3.16, 4 Br 3.25
As 0.0000 0.5000 0.5000  2 N 2.30
Br 0.5000 0.5000 0.0000  2 N 2.17
N 0.5000 0.5000 0.5000  2 Br 2.17, 4 As 2.30


Record 16
Computed, not measured: Be4C at its PBEsol-relaxed geometry at the SCAN level of DFT.

Summary:
Total magnetic moment (μB per cell): 0.000
V (Å³/atom): 8.24
Formation energy from the elements (meV per atom): 982

Cell lengths 2.6193, 2.6193, 12.0131 Å; angles 90.00, 90.00, 90.00 degrees
Last column: nearest neighbours and their distance in Å.
Space group I4/mmm (No. 139)
Inequivalent atoms, fractional coordinates:
Be 0.0000 0.0000 0.0860  1 Be 2.07, 4 C 2.12
Be 0.0000 0.5000 0.2500  4 Be 1.85
C 0.0000 0.0000 0.5000  8 Be 2.12


Record 17
Computed, not measured: P2RuSe at its PBEsol-relaxed geometry at the SCAN level of DFT.

Summary:
Total magnetic moment (μB per cell): 0.000
V (Å³/atom): 14.29
Formation energy from raw total energies (eV per formula unit): 2.950

Cell lengths 4.4326, 4.4326, 2.9100 Å; angles 90.00, 90.00, 90.00 degrees
Last column: nearest neighbours and their distance in Å.
Space group P4/mmm (No. 123)
Inequivalent atoms, fractional coordinates:
P 0.0000 0.5000 0.0000  4 Se 2.65, 4 Ru 2.65, 2 P 2.91
Ru 0.0000 0.0000 0.5000  8 P 2.65, 2 Ru 2.91
Se 0.5000 0.5000 0.5000  8 P 2.65, 2 Se 2.91


Record 18
Computed, not measured: RbBe2OsPt at its PBEsol-relaxed geometry at the SCAN level of DFT.

Summary:
Total magnetic moment (μB per cell): 0.000
V (Å³/atom): 17.12
Formation energy from the elements (meV per atom): 3215

Cell lengths 4.3142, 4.3142, 4.5987 Å; angles 90.00, 90.00, 90.00 degrees
Last column: nearest neighbours and their distance in Å.
Space group P4/mmm (No. 123)
Inequivalent atoms, fractional coordinates:
Rb 0.0000 0.0000 0.0000  4 Be 2.16, 2 Os 2.30
Be 0.0000 0.5000 0.0000  2 Rb 2.16
Os 0.0000 0.0000 0.5000  2 Rb 2.30
Pt 0.5000 0.5000 0.5000  4 Os 3.05, 8 Be 3.15


Record 19
Computed, not measured: PuClO at its PBEsol-relaxed geometry at the SCAN level of DFT.

Summary:
Total magnetic moment (μB per cell): 10.000
V (Å³/atom): 17.04
Formation energy from raw total energies (eV per formula unit): -8.082

Cell lengths 3.9146, 3.9146, 6.6719 Å; angles 90.00, 90.00, 90.00 degrees
Last column: nearest neighbours and their distance in Å.
Space group P4/nmm (No. 129, origin choice 2)
Inequivalent atoms, fractional coordinates:
Pu 0.2500 0.2500 0.1761  4 O 2.28
Cl 0.2500 0.2500 0.6294  5 Pu 3.02-3.06, 4 O 3.15, 4 Cl 3.26
O 0.2500 0.7500 0.0000  4 Pu 2.28


Record 20
Computed, not measured: HgP2ICl at its PBEsol-relaxed geometry at the SCAN level of DFT.

Summary:
Total magnetic moment (μB per cell): 1.787
V (Å³/atom): 28.24
Formation energy from raw total energies (eV per formula unit): 5.609

Cell lengths 5.1231, 5.1231, 5.3807 Å; angles 90.00, 90.00, 90.00 degrees
Last column: nearest neighbours and their distance in Å.
Space group P4/mmm (No. 123)
Inequivalent atoms, fractional coordinates:
Hg 0.0000 0.0000 0.0000  4 Cl 3.62, 8 P 3.71
P 0.0000 0.5000 0.5000  2 I 2.56
I 0.5000 0.5000 0.5000  4 P 2.56, 2 Cl 2.69
Cl 0.5000 0.5000 0.0000  2 I 2.69